Entry 1:
This record from Alexandria describes Sb2As2W after structural relaxation. The functional is PBE.

```
data_Sb2As2W
_symmetry_space_group_name_H-M 'P 4/m b m'
_symmetry_Int_Tables_number 127
_symmetry_space_group_name_Hall '-P 4 2ab'
_cell_length_a 7.208
_cell_length_b 7.208
_cell_length_c 4.304
_cell_angle_alpha 90.00
_cell_angle_beta 90.00
_cell_angle_gamma 90.00
loop_
_atom_site_label
_atom_site_fract_x
_atom_site_fract_y
_atom_site_fract_z
Sb1 0.146 0.354 0.000
As1 0.184 0.684 0.500
W1 0.000 0.000 0.000
```

Calculated values
crystal system = tetragonal

***

Entry 2:
This record from Alexandria describes Sb4AsW after structural relaxation. The functional is PBE.

```
data_Sb4AsW
_symmetry_space_group_name_H-M 'F -4 3 m'
_symmetry_Int_Tables_number 216
_symmetry_space_group_name_Hall 'F -4 2 3'
_cell_length_a 8.560
_cell_length_b 8.560
_cell_length_c 8.560
_cell_angle_alpha 90.00
_cell_angle_beta 90.00
_cell_angle_gamma 90.00
loop_
_atom_site_label
_atom_site_fract_x
_atom_site_fract_y
_atom_site_fract_z
Sb1 0.125 0.125 0.125
As1 0.000 0.000 0.500
W1 0.250 0.250 0.750
```

Calculated values
crystal system = cubic

***

Entry 3:
This record from Alexandria describes Sb2AsW after structural relaxation. The functional is PBE.

```
data_Sb2AsW
_symmetry_space_group_name_H-M 'P 4/m m m'
_symmetry_Int_Tables_number 123
_symmetry_space_group_name_Hall '-P 4 2'
_cell_length_a 3.399
_cell_length_b 3.399
_cell_length_c 7.169
_cell_angle_alpha 90.00
_cell_angle_beta 90.00
_cell_angle_gamma 90.00
loop_
_atom_site_label
_atom_site_fract_x
_atom_site_fract_y
_atom_site_fract_z
Sb1 0.000 0.000 0.223
As1 0.500 0.500 0.500
W1 0.500 0.500 0.000
```

Calculated values
crystal system = tetragonal

***

Entry 4:
This record from Alexandria describes SbAsW2 after structural relaxation. The functional is PBE.

```
data_SbAsW2
_symmetry_space_group_name_H-M 'I -4 m 2'
_symmetry_Int_Tables_number 119
_symmetry_space_group_name_Hall 'I -4 -2'
_cell_length_a 4.282
_cell_length_b 4.282
_cell_length_c 7.732
_cell_angle_alpha 90.00
_cell_angle_beta 90.00
_cell_angle_gamma 90.00
loop_
_atom_site_label
_atom_site_fract_x
_atom_site_fract_y
_atom_site_fract_z
Sb1 0.000 0.000 0.000
As1 0.000 0.500 0.250
W1 0.000 0.000 0.500
W2 0.000 0.500 0.750
```

Calculated values
crystal system = tetragonal

***

Q: Which formation energy without anion corrections values were calculated for the entries above? A: 0.81 1.25 0.45 0.66, in eV/atom.